This record from the Alexandria database describes a relaxed structure of Li2MnPO5. The functional is PBE+U.

total DFT energy (no corrections): -6.69 eV per atom
symmetry: No. 15
calculated volume: 10.689 Å³ per atom

abc: 5.502 5.502 7.112
angles: 108.57 108.57 89.58
Atoms (fractional coordinates):
Li1 0.050 0.604 0.746
Li2 0.396 0.950 0.754
Li3 0.604 0.050 0.246
Li4 0.950 0.396 0.254
Mn1 0.500 0.500 0.000
Mn2 0.500 0.500 0.500
P1 0.128 0.872 0.250
P2 0.872 0.128 0.750
O1 0.165 0.196 0.852
O2 0.196 0.165 0.352
O3 0.224 0.729 0.416
O4 0.271 0.776 0.084
O5 0.408 0.592 0.750
O6 0.592 0.408 0.250
O7 0.729 0.224 0.916
O8 0.776 0.271 0.584
O9 0.804 0.835 0.648
O10 0.835 0.804 0.148